{"formula": "KScPb4", "functional": "PBE-GGA", "state": "relaxed", "spacegroup": "F-43m", "formation_energy_ev_per_fu": 0.40, "n_ef_per_ev_atom": 1.172, "lattice_angstrom": [[0.000, 4.614, 4.614], [4.614, 0.000, 4.614], [4.614, 4.614, 0.000]], "species": ["K", "Sc", "Pb", "Pb", "Pb", "Pb"], "fractional_positions": [[0.000, 0.000, 0.000], [0.250, 0.250, 0.250], [0.130, 0.623, 0.623], [0.623, 0.130, 0.623], [0.623, 0.623, 0.130], [0.623, 0.623, 0.623]]}